1.
Entry from Alexandria: a relaxed CrRe2Cl crystal (GGA-PBE).

Summary:
crystal system: tetragonal
theoretical density: 13.2 g/cm3
formation energy from raw total energies: 634 meV per atom

CIF file:
```
data_CrRe2Cl
_chemical_formula_sum 'Cr1 Re2 Cl1'
_space_group_name_H-M_alt 'P 4/m m m'
_space_group_IT_number 123
_space_group_name_Hall '-P 4 2'
_cell_length_a 2.918
_cell_length_b 2.918
_cell_length_c 6.776
_cell_angle_alpha 90.00
_cell_angle_beta 90.00
_cell_angle_gamma 90.00
loop_
_atom_site_label
_atom_site_type_symbol
_atom_site_fract_x
_atom_site_fract_y
_atom_site_fract_z
_atom_site_occupancy
Cr1 Cr 0.000 0.000 0.000 1
Re1 Re 0.500 0.500 0.221 1
Cl1 Cl 0.000 0.000 0.500 1
```

2.
Entry from Alexandria: a relaxed HoMnCrSi2 crystal (GGA-PBE).

Summary:
crystal system: tetragonal
theoretical density: 6.8 g/cm3
formation energy from raw total energies: -510 meV per atom

CIF file:
```
data_HoMnCrSi2
_chemical_formula_sum 'Ho2 Mn2 Cr2 Si4'
_space_group_name_H-M_alt 'I -4 m 2'
_space_group_IT_number 119
_space_group_name_Hall 'I -4 -2'
_cell_length_a 3.921
_cell_length_b 3.921
_cell_length_c 10.362
_cell_angle_alpha 90.00
_cell_angle_beta 90.00
_cell_angle_gamma 90.00
loop_
_atom_site_label
_atom_site_type_symbol
_atom_site_fract_x
_atom_site_fract_y
_atom_site_fract_z
_atom_site_occupancy
Ho1 Ho 0.000 0.000 0.000 1
Mn1 Mn 0.000 0.500 0.750 1
Cr1 Cr 0.000 0.500 0.250 1
Si1 Si 0.000 0.000 0.381 1
```

3.
Entry from Alexandria: a relaxed HoTm3Rh2 crystal (GGA-PBE).

Summary:
crystal system: orthorhombic
ΔE_f: -704 meV/atom
theoretical density: 10.3 g/cm3

CIF file:
```
data_HoTm3Rh2
_chemical_formula_sum 'Ho2 Tm6 Rh4'
_space_group_name_H-M_alt 'P m c 21'
_space_group_IT_number 26
_cell_length_a 4.554
_cell_length_b 8.679
_cell_length_c 7.152
_cell_angle_alpha 90.00
_cell_angle_beta 90.00
_cell_angle_gamma 90.00
loop_
_space_group_symop_operation_xyz
'x,y,z'
'-x,-y,z+1/2'
'-x,y,z'
'x,-y,z+1/2'
loop_
_atom_site_label
_atom_site_type_symbol
_atom_site_fract_x
_atom_site_fract_y
_atom_site_fract_z
_atom_site_occupancy
Ho1 Ho 0.000 0.085 0.000 1
Tm1 Tm 0.000 0.330 0.630 1
Tm2 Tm 0.500 0.172 0.347 1
Tm3 Tm 0.500 0.415 0.976 1
Rh1 Rh 0.000 0.344 0.232 1
Rh2 Rh 0.500 0.158 0.744 1
```

4.
Entry from Alexandria: a relaxed YH3Au crystal (GGA-PBE).

Summary:
total DFT energy (no corrections): -19.70 eV/cell
crystal system: cubic
theoretical density: 7.2 g/cm3

CIF file:
```
data_YH3Au
_chemical_formula_sum 'Y1 H3 Au1'
_space_group_name_H-M_alt 'P m -3 m'
_space_group_IT_number 221
_space_group_name_Hall '-P 4 2 3'
_cell_length_a 4.061
_cell_length_b 4.061
_cell_length_c 4.061
_cell_angle_alpha 90.00
_cell_angle_beta 90.00
_cell_angle_gamma 90.00
loop_
_atom_site_label
_atom_site_type_symbol
_atom_site_fract_x
_atom_site_fract_y
_atom_site_fract_z
_atom_site_occupancy
Y1 Y 0.000 0.000 0.000 1
H1 H 0.000 0.000 0.500 1
Au1 Au 0.500 0.500 0.500 1
```

5.
Entry from Alexandria: a relaxed YMg2Pb crystal (GGA-PBE).

Summary:
crystal system: monoclinic
ΔE_f: -135 meV/atom
theoretical density: 5.4 g/cm3

CIF file:
```
data_YMg2Pb
_chemical_formula_sum 'Y2 Mg4 Pb2'
_space_group_name_H-M_alt 'C 1 2/m 1'
_space_group_IT_number 12
_cell_length_a 6.420
_cell_length_b 11.458
_cell_length_c 3.273
_cell_angle_alpha 90.00
_cell_angle_beta 117.79
_cell_angle_gamma 90.00
loop_
_space_group_symop_operation_xyz
'x,y,z'
'-x,-y,-z'
'-x,y,-z'
'x,-y,z'
'x+1/2,y+1/2,z'
'-x+1/2,-y+1/2,-z'
'-x+1/2,y+1/2,-z'
'x+1/2,-y+1/2,z'
loop_
_atom_site_label
_atom_site_type_symbol
_atom_site_fract_x
_atom_site_fract_y
_atom_site_fract_z
_atom_site_occupancy
Y1 Y 0.000 0.000 0.000 1
Mg1 Mg 0.250 0.250 0.500 1
Pb1 Pb 0.000 0.500 0.000 1
```

6.
Entry from Alexandria: a relaxed K4Y3PaSe8 crystal (GGA-PBE).

Summary:
crystal system: trigonal
theoretical density: 4.5 g/cm3
formation energy from raw total energies: -1641 meV per atom

CIF file:
```
data_K4Y3PaSe8
_chemical_formula_sum 'K12 Y9 Pa3 Se24'
_space_group_name_H-M_alt 'R -3 m'
_space_group_IT_number 166
_space_group_name_Hall '-R 3 2"'
_cell_length_a 8.4331
_cell_length_b 8.4331
_cell_length_c 23.1264
_cell_angle_alpha 90.00
_cell_angle_beta 90.00
_cell_angle_gamma 120.00
loop_
_atom_site_label
_atom_site_type_symbol
_atom_site_fract_x
_atom_site_fract_y
_atom_site_fract_z
_atom_site_occupancy
K1 K 0.0000 0.0000 0.0000 1
K2 K 0.0000 0.5000 0.0000 1
Y1 Y 0.0000 0.5000 0.5000 1
Pa1 Pa 0.0000 0.0000 0.5000 1
Se1 Se 0.0000 0.0000 0.2354 1
Se2 Se 0.9999 0.4999 0.2360 1
```

7.
Entry from Alexandria: a relaxed Er2Sc2C2N crystal (GGA-PBE).

Summary:
crystal system: monoclinic
theoretical density: 6.8 g/cm3
formation energy from raw total energies: -734 meV per atom

CIF file:
```
data_Er2Sc2C2N
_chemical_formula_sum 'Er4 Sc4 C4 N2'
_space_group_name_H-M_alt 'C 1 2/m 1'
_space_group_IT_number 12
_cell_length_a 12.161
_cell_length_b 3.502
_cell_length_c 5.787
_cell_angle_alpha 90.00
_cell_angle_beta 113.05
_cell_angle_gamma 90.00
loop_
_space_group_symop_operation_xyz
'x,y,z'
'-x,-y,-z'
'-x,y,-z'
'x,-y,z'
'x+1/2,y+1/2,z'
'-x+1/2,-y+1/2,-z'
'-x+1/2,y+1/2,-z'
'x+1/2,-y+1/2,z'
loop_
_atom_site_label
_atom_site_type_symbol
_atom_site_fract_x
_atom_site_fract_y
_atom_site_fract_z
_atom_site_occupancy
Er1 Er 0.126 0.000 0.292 1
Sc1 Sc 0.141 0.500 0.840 1
C1 C 0.228 0.000 0.745 1
N1 N 0.000 0.500 0.000 1
```

8.
Entry from Alexandria: a relaxed AgSbC2 crystal (GGA-PBE).

Summary:
crystal system: tetragonal
theoretical density: 6.6 g/cm3
formation energy from raw total energies: 1586 meV per atom

CIF file:
```
data_AgSbC2
_chemical_formula_sum 'Ag4 Sb4 C8'
_space_group_name_H-M_alt 'I -4 2 d'
_space_group_IT_number 122
_space_group_name_Hall 'I -4 2bw'
_cell_length_a 5.159
_cell_length_b 5.159
_cell_length_c 9.663
_cell_angle_alpha 90.00
_cell_angle_beta 90.00
_cell_angle_gamma 90.00
loop_
_atom_site_label
_atom_site_type_symbol
_atom_site_fract_x
_atom_site_fract_y
_atom_site_fract_z
_atom_site_occupancy
Ag1 Ag 0.000 0.000 0.000 1
Sb1 Sb 0.000 0.000 0.500 1
C1 C 0.241 0.250 0.625 1
```

9.
Entry from Alexandria: a relaxed Cd2OsSe crystal (GGA-PBE).

Summary:
crystal system: orthorhombic
theoretical density: 9.8 g/cm3
formation energy from raw total energies: 442 meV per atom

CIF file:
```
data_Cd2OsSe
_chemical_formula_sum 'Cd4 Os2 Se2'
_space_group_name_H-M_alt 'I m m m'
_space_group_IT_number 71
_space_group_name_Hall '-I 2 2'
_cell_length_a 2.974
_cell_length_b 4.138
_cell_length_c 13.628
_cell_angle_alpha 90.00
_cell_angle_beta 90.00
_cell_angle_gamma 90.00
loop_
_atom_site_label
_atom_site_type_symbol
_atom_site_fract_x
_atom_site_fract_y
_atom_site_fract_z
_atom_site_occupancy
Cd1 Cd 0.000 0.000 0.186 1
Os1 Os 0.000 0.500 0.500 1
Se1 Se 0.000 0.500 0.000 1
```

10.
Entry from Alexandria: a relaxed Mn5FeCo6 crystal (GGA-PBE).

Summary:
crystal system: orthorhombic
ΔE_f: -11 meV/atom
theoretical density: 8.1 g/cm3

CIF file:
```
data_Mn5FeCo6
_chemical_formula_sum 'Mn10 Fe2 Co12'
_space_group_name_H-M_alt 'C m m m'
_space_group_IT_number 65
_space_group_name_Hall '-C 2 2'
_cell_length_a 4.041
_cell_length_b 12.125
_cell_length_c 5.691
_cell_angle_alpha 90.00
_cell_angle_beta 90.00
_cell_angle_gamma 90.00
loop_
_atom_site_label
_atom_site_type_symbol
_atom_site_fract_x
_atom_site_fract_y
_atom_site_fract_z
_atom_site_occupancy
Mn1 Mn 0.000 0.000 0.000 1
Mn2 Mn 0.000 0.333 0.500 1
Mn3 Mn 0.000 0.334 0.000 1
Fe1 Fe 0.000 0.000 0.500 1
Co1 Co 0.000 0.166 0.251 1
Co2 Co 0.000 0.500 0.252 1
```

11.
Entry from Alexandria: a relaxed Li2Y2Sc crystal (GGA-PBE).

Summary:
crystal system: tetragonal
ΔE_f: 207 meV/atom
theoretical density: 3.1 g/cm3

CIF file:
```
data_Li2Y2Sc
_chemical_formula_sum 'Li4 Y4 Sc2'
_space_group_name_H-M_alt 'P 4/m b m'
_space_group_IT_number 127
_space_group_name_Hall '-P 4 2ab'
_cell_length_a 8.542
_cell_length_b 8.542
_cell_length_c 3.498
_cell_angle_alpha 90.00
_cell_angle_beta 90.00
_cell_angle_gamma 90.00
loop_
_atom_site_label
_atom_site_type_symbol
_atom_site_fract_x
_atom_site_fract_y
_atom_site_fract_z
_atom_site_occupancy
Li1 Li 0.111 0.389 0.000 1
Y1 Y 0.190 0.690 0.500 1
Sc1 Sc 0.000 0.000 0.000 1
```

The highest theoretical density belongs to which entry?
CrRe2Cl

The lowest theoretical density belongs to which entry?
Li2Y2Sc

What is the theoretical density in the third record?
10.3 g/cm3

Which of these has the lowest theoretical density?
Li2Y2Sc